Entry 1
Density functional theory data (PBE) for a geometry-optimized Sm6Tl2Au structure.

Results
Its symmetry is P-62m, No. 189. The magnetization is 0.000 μB per cell. As for the density of states at the Fermi level: 14.0 states/eV/cell.

a b c (Å): 8.9802 8.9802 3.8542
angles (deg): 90.00 90.00 120.00
Closest atoms and distances in Å follow each position.
Element x y z (fractional)
Sm (0.0000, 0.3963, 0.0000)  4 Tl 3.36, 1 Au 3.56, 6 Sm 3.66-3.67
Sm (0.0000, 0.7424, 0.5000)  2 Au 3.01
Sm (0.2576, 0.2576, 0.5000)  2 Au 3.01
Sm (0.3963, 0.0000, 0.0000)  4 Tl 3.36, 1 Au 3.56, 6 Sm 3.66-3.67
Sm (0.6037, 0.6037, 0.0000)  4 Tl 3.36, 1 Au 3.56, 6 Sm 3.66-3.67
Sm (0.7424, 0.0000, 0.5000)  2 Au 3.01
Tl (0.3333, 0.6667, 0.5000)  9 Sm 3.36-3.38
Tl (0.6667, 0.3333, 0.5000)  9 Sm 3.36-3.38
Au (0.0000, 0.0000, 0.0000)  6 Sm 3.01



Entry 2
Density functional theory data (PBE) for a geometry-optimized Sm6Tl2Au structure.

Results
Its symmetry is P4_2/mnm, No. 136. The magnetization is 0.000 μB per cell. As for the density of states at the Fermi level: 22.3 states/eV/cell.

a b c (Å): 10.1998 10.1998 5.1558
angles (deg): 90.00 90.00 90.00
Closest atoms and distances in Å follow each position.
Element x y z (fractional)
Sm (0.0216, 0.3182, 0.0000)  3 Tl 3.25-3.39, 1 Au 3.25, 2 Sm 3.58
Sm (0.1196, 0.8804, 0.5000)  2 Au 3.10, 2 Tl 3.41, 1 Sm 3.45
Sm (0.1818, 0.5216, 0.5000)  3 Tl 3.25-3.39, 1 Au 3.25, 2 Sm 3.58
Sm (0.3182, 0.0216, 0.0000)  3 Tl 3.25-3.39, 1 Au 3.25, 2 Sm 3.58
Sm (0.3804, 0.3804, 0.0000)  2 Au 3.10, 2 Tl 3.41, 1 Sm 3.45
Sm (0.4784, 0.8182, 0.5000)  3 Tl 3.25-3.39, 1 Au 3.25, 2 Sm 3.58
Sm (0.5216, 0.1818, 0.5000)  3 Tl 3.25-3.39, 1 Au 3.25, 2 Sm 3.58
Sm (0.6196, 0.6196, 0.0000)  2 Au 3.10, 2 Tl 3.41, 1 Sm 3.45
Sm (0.6818, 0.9784, 0.0000)  3 Tl 3.25-3.39, 1 Au 3.25, 2 Sm 3.58
Sm (0.8182, 0.4784, 0.5000)  3 Tl 3.25-3.39, 1 Au 3.25, 2 Sm 3.58
Sm (0.8804, 0.1196, 0.5000)  2 Au 3.10, 2 Tl 3.41, 1 Sm 3.45
Sm (0.9784, 0.6818, 0.0000)  3 Tl 3.25-3.39, 1 Au 3.25, 2 Sm 3.58
Tl (0.2039, 0.2039, 0.5000)  10 Sm 3.25-3.62
Tl (0.2961, 0.7039, 0.0000)  10 Sm 3.25-3.62
Tl (0.7039, 0.2961, 0.0000)  10 Sm 3.25-3.62
Tl (0.7961, 0.7961, 0.5000)  10 Sm 3.25-3.62
Au (0.0000, 0.0000, 0.0000)  8 Sm 3.10-3.25
Au (0.5000, 0.5000, 0.5000)  8 Sm 3.10-3.25



Stability summary: most stable entry 1, least stable entry 2.



Entry 1
Density functional theory data (PBE) for a geometry-optimized SmTmZnAu structure.

Results
Its symmetry is F-43m, No. 216. The magnetization is 0.000 μB per cell. As for the density of states at the Fermi level: 3.2 states/eV/cell.

a b c (Å): 5.0954 5.0954 5.0954
angles (deg): 60.00 60.00 60.00
Closest atoms and distances in Å follow each position.
Element x y z (fractional)
Sm (0.0000, 0.0000, 0.0000)  4 Zn 3.12, 4 Au 3.12
Tm (0.5000, 0.5000, 0.5000)  4 Zn 3.12, 4 Au 3.12
Zn (0.2500, 0.2500, 0.2500)  4 Tm 3.12, 4 Sm 3.12
Au (0.7500, 0.7500, 0.7500)  4 Tm 3.12, 4 Sm 3.12



Entry 2
Density functional theory data (PBE) for a geometry-optimized SmTmZnAu structure.

Results
Its symmetry is P4mm, No. 99. The magnetization is 0.004 μB per cell. As for the density of states at the Fermi level: 3.3 states/eV/cell.

a b c (Å): 3.6060 3.6060 7.1500
angles (deg): 90.00 90.00 90.00
Closest atoms and distances in Å follow each position.
Element x y z (fractional)
Sm (0.0000, 0.0000, 0.0000)  4 Zn 3.16, 4 Au 3.23
Tm (0.0000, 0.0000, 0.4964)  4 Au 3.02, 4 Zn 3.05
Zn (0.5000, 0.5000, 0.2616)  4 Tm 3.05, 4 Sm 3.16, 1 Au 3.30
Au (0.5000, 0.5000, 0.7231)  4 Tm 3.02, 4 Sm 3.23, 1 Zn 3.30



Stability summary: most stable entry 2, least stable entry 1.



Entry 1
Density functional theory data (PBE) for a geometry-optimized Sm2YAu structure.

Results
Its symmetry is R3m, No. 160. The magnetization is 0.335 μB per cell. As for the density of states at the Fermi level: 5.3 states/eV/cell.

a b c (Å): 10.2769 10.2769 10.2769
angles (deg): 21.12 21.12 21.12
Closest atoms and distances in Å follow each position.
Element x y z (fractional)
Sm (0.0000, 0.0000, 0.0000)  3 Au 3.05
Sm (0.1916, 0.1916, 0.1916)  3 Au 3.04
Y (0.4289, 0.4289, 0.4289)  6 Sm 3.61-3.62, 6 Y 3.77
Au (0.5956, 0.5956, 0.5956)  6 Sm 3.04-3.05



Entry 2
Density functional theory data (PBE) for a geometry-optimized Sm2YAu structure.

Results
Its symmetry is Pnma, No. 62. The magnetization is 0.000 μB per cell. As for the density of states at the Fermi level: 15.2 states/eV/cell.

a b c (Å): 7.0983 10.0096 6.7177
angles (deg): 90.00 90.00 90.00
Closest atoms and distances in Å follow each position.
Element x y z (fractional)
Sm (0.1954, 0.0552, 0.1880)  2 Au 3.00-3.04
Sm (0.1954, 0.4448, 0.1880)  2 Au 3.00-3.04
Sm (0.3046, 0.5552, 0.6880)  2 Au 3.00-3.04
Sm (0.3046, 0.9448, 0.6880)  2 Au 3.00-3.04
Sm (0.6954, 0.0552, 0.3120)  2 Au 3.00-3.04
Sm (0.6954, 0.4448, 0.3120)  2 Au 3.00-3.04
Sm (0.8046, 0.5552, 0.8120)  2 Au 3.00-3.04
Sm (0.8046, 0.9448, 0.8120)  2 Au 3.00-3.04
Y (0.0166, 0.2500, 0.6256)  2 Au 2.93-2.99
Y (0.4834, 0.7500, 0.1256)  2 Au 2.93-2.99
Y (0.5166, 0.2500, 0.8744)  2 Au 2.93-2.99
Y (0.9834, 0.7500, 0.3744)  2 Au 2.93-2.99
Au (0.0950, 0.7500, 0.9546)  2 Y 2.93-2.99, 4 Sm 3.00-3.04
Au (0.4050, 0.2500, 0.4546)  2 Y 2.93-2.99, 4 Sm 3.00-3.04
Au (0.5950, 0.7500, 0.5454)  2 Y 2.93-2.99, 4 Sm 3.00-3.04
Au (0.9050, 0.2500, 0.0454)  2 Y 2.93-2.99, 4 Sm 3.00-3.04



Entry 3
Density functional theory data (PBE) for a geometry-optimized Sm2YAu structure.

Results
Its symmetry is Cmcm, No. 63. The magnetization is 0.000 μB per cell. As for the density of states at the Fermi level: 8.2 states/eV/cell.

a b c (Å): 6.3559 6.3559 8.5383
angles (deg): 90.00 90.00 136.96
Closest atoms and distances in Å follow each position.
Element x y z (fractional)
Sm (0.1409, 0.8591, 0.5426)  3 Au 2.98-3.08
Sm (0.1409, 0.8591, 0.9574)  3 Au 2.98-3.08
Sm (0.8591, 0.1409, 0.0426)  3 Au 2.98-3.08
Sm (0.8591, 0.1409, 0.4574)  3 Au 2.98-3.08
Y (0.4522, 0.5478, 0.7500)  1 Au 3.19
Y (0.5478, 0.4522, 0.2500)  1 Au 3.19
Au (0.2782, 0.7218, 0.2500)  6 Sm 2.98-3.08, 1 Y 3.19
Au (0.7218, 0.2782, 0.7500)  6 Sm 2.98-3.08, 1 Y 3.19



Entry 4
Density functional theory data (PBE) for a geometry-optimized Sm2YAu structure.

Results
Its symmetry is P4/mmm, No. 123. The magnetization is 0.000 μB per cell. As for the density of states at the Fermi level: 6.0 states/eV/cell.

a b c (Å): 3.7055 3.7055 8.5106
angles (deg): 90.00 90.00 90.00
Closest atoms and distances in Å follow each position.
Element x y z (fractional)
Sm (0.0000, 0.0000, 0.2085)  4 Au 3.16
Sm (0.0000, 0.0000, 0.7915)  4 Au 3.16
Y (0.5000, 0.5000, 0.5000)  8 Sm 3.61, 4 Y 3.71
Au (0.5000, 0.5000, 0.0000)  8 Sm 3.16



Stability summary: most stable entry 2, least stable entry 1.



Entry 1
Density functional theory data (PBE) for a geometry-optimized SmYAu structure.

Results
Its symmetry is F-43m, No. 216. The magnetization is 0.000 μB per cell. As for the density of states at the Fermi level: 4.1 states/eV/cell.

a b c (Å): 5.0322 5.0322 5.0322
angles (deg): 60.00 60.00 60.00
Closest atoms and distances in Å follow each position.
Element x y z (fractional)
Sm (0.0000, 0.0000, 0.0000)  4 Au 3.08
Y (0.5000, 0.5000, 0.5000)  4 Au 3.08
Au (0.2500, 0.2500, 0.2500)  4 Y 3.08, 4 Sm 3.08



Entry 2
Density functional theory data (PBE) for a geometry-optimized SmYAu structure.

Results
Its symmetry is R-3m, No. 166. The magnetization is 0.000 μB per cell. As for the density of states at the Fermi level: 4.4 states/eV/cell.

a b c (Å): 8.1288 8.1288 8.1288
angles (deg): 36.20 36.20 36.20
Closest atoms and distances in Å follow each position.
Element x y z (fractional)
Sm (0.1295, 0.1295, 0.1295)  3 Au 3.05, 3 Sm 3.37
Sm (0.8705, 0.8705, 0.8705)  3 Au 3.05, 3 Sm 3.37
Y (0.2922, 0.2922, 0.2922)  4 Au 2.99-3.12
Y (0.7078, 0.7078, 0.7078)  4 Au 2.99-3.12
Au (0.4236, 0.4236, 0.4236)  4 Y 2.99-3.12, 3 Sm 3.05
Au (0.5764, 0.5764, 0.5764)  4 Y 2.99-3.12, 3 Sm 3.05



Entry 3
Density functional theory data (PBE) for a geometry-optimized SmYAu structure.

Results
Its symmetry is P3m1, No. 156. The magnetization is 0.000 μB per cell. As for the density of states at the Fermi level: 2.2 states/eV/cell.

a b c (Å): 4.9414 4.9414 3.8975
angles (deg): 90.00 90.00 120.00
Closest atoms and distances in Å follow each position.
Element x y z (fractional)
Sm (0.0000, 0.0000, 0.0000)  3 Au 3.08, 3 Y 3.38
Y (0.6667, 0.3333, 0.4665)  3 Au 3.00
Au (0.3333, 0.6667, 0.7020)  3 Y 3.00, 3 Sm 3.08



Stability summary: most stable entry 2, least stable entry 3.